14
Lattice="-2.720 4.294 -3.899 -5.445 -1.108 2.577 2.415 2.893 6.347" Properties=species:S:1:pos:R:3 comment="BaFePbO4 GGA+U optimized geometry" spacegroup="No. 11" mass_density_g_cm3=5.809 final_energy_ev_per_atom=-6.01 vol_a3_per_atom=18.963 pbc="T T T"
Ba -3.712 5.050 5.246
Ba -2.037 1.028 -0.222
Fe -4.073 1.259 2.855
Fe -1.676 4.819 2.170
Pb -5.017 4.081 2.073
Pb -0.732 1.997 2.952
O -3.368 5.617 2.405
O -4.974 -0.066 3.847
O -2.381 0.461 2.620
O -0.775 6.145 1.178
O -4.934 1.738 1.241
O -0.815 4.341 3.783
O -3.999 2.900 3.716
O -1.750 3.178 1.309